A plane-wave DFT calculation with SCAN was carried out for a crystal of YTiNbS2 relaxed with PBEsol.

Values from the calculation:
**Symmetry**: P4/mmm
**Formation energy without anion corrections**: 336 kJ/mol of formula units

abc: 4.9681 4.9681 5.1245
angles: 90.00 90.00 90.00
Site moments in Bohr magnetons follow the coordinates.
Fractional coordinates of all 5 atoms:
Y1 0.0000 0.0000 0.0000  -0.29
Nb1 0.0000 0.0000 0.5000  -2.12
S1 0.5000 0.0000 0.0000  -0.06
S2 0.0000 0.5000 0.0000  -0.06
Ti1 0.5000 0.5000 0.5000  1.50